1.
Ho5Er2Tm5: optimized geometry, GGA-PBE.

Total DFT energy (no corrections): -4.51 eV per atom
Calculated volume: 30.3 Å³/atom
SG: C2/m (12)

abc: 7.8203 7.8203 11.0640
angles: 115.07 115.07 36.86
Last column: nearest neighbours and their distance in Å.
Positions (direct):
Ho1 0.0000 0.0000 0.0000  2 Er 3.49, 2 Ho 3.49, 8 Tm 3.50
Ho2 0.1662 0.1662 0.4996  5 Tm 3.49-3.51, 2 Er 3.49-3.50, 5 Ho 3.50
Ho3 0.2496 0.2496 0.2494  6 Tm 3.49-3.51, 4 Ho 3.49-3.50, 2 Er 3.50
Ho4 0.7504 0.7504 0.7506  6 Tm 3.49-3.51, 4 Ho 3.49-3.50, 2 Er 3.50
Ho5 0.8338 0.8338 0.5004  5 Tm 3.49-3.51, 2 Er 3.49-3.50, 5 Ho 3.50
Er1 0.0832 0.0832 0.7504  7 Tm 3.49-3.50, 5 Ho 3.49-3.50
Er2 0.9168 0.9168 0.2496  7 Tm 3.49-3.50, 5 Ho 3.49-3.50
Tm1 0.3330 0.3330 0.9998  4 Tm 3.49-3.50, 5 Ho 3.49-3.50, 3 Er 3.50
Tm2 0.4169 0.4169 0.7501  2 Er 3.49, 7 Ho 3.50-3.51, 3 Tm 3.50
Tm3 0.5000 0.5000 0.5000  6 Ho 3.49-3.51, 2 Tm 3.50, 4 Er 3.50
Tm4 0.5831 0.5831 0.2499  2 Er 3.49, 7 Ho 3.50-3.51, 3 Tm 3.50
Tm5 0.6670 0.6670 0.0002  4 Tm 3.49-3.50, 5 Ho 3.49-3.50, 3 Er 3.50


2.
Ho2Mg3Ag4: optimized geometry, GGA-PBE.

Total DFT energy (no corrections): -3.03 eV per atom
Calculated volume: 21.9 Å³/atom
SG: Cmce (64)
Excess energy over the best structure of this formula in the dataset: 28 meV per atom

abc: 8.9651 8.9651 7.7578
angles: 90.00 90.00 140.81
Last column: nearest neighbours and their distance in Å.
Positions (direct):
Ho1 0.0991 0.9009 0.9008  7 Ag 3.12-3.38, 2 Mg 3.41
Ho2 0.4009 0.5991 0.4008  7 Ag 3.12-3.38, 2 Mg 3.41
Ho3 0.5991 0.4009 0.5992  7 Ag 3.12-3.38, 2 Mg 3.41
Ho4 0.9009 0.0991 0.0992  7 Ag 3.12-3.38, 2 Mg 3.41
Mg1 0.0000 0.0000 0.5000  6 Ag 2.69-2.82
Mg2 0.0167 0.4833 0.7500  5 Ag 2.83-2.85, 2 Mg 3.01
Mg3 0.4833 0.0167 0.2500  5 Ag 2.83-2.85, 2 Mg 3.01
Mg4 0.5000 0.5000 0.0000  6 Ag 2.69-2.82
Mg5 0.5167 0.9833 0.7500  5 Ag 2.83-2.85, 2 Mg 3.01
Mg6 0.9833 0.5167 0.2500  5 Ag 2.83-2.85, 2 Mg 3.01
Ag1 0.1664 0.8336 0.5269  5 Mg 2.82-2.85, 1 Ho 3.12, 2 Ag 3.12
Ag2 0.1840 0.3160 0.7500  3 Mg 2.69-2.83, 2 Ag 3.01
Ag3 0.3160 0.1840 0.2500  3 Mg 2.69-2.83, 2 Ag 3.01
Ag4 0.3336 0.6664 0.0269  5 Mg 2.82-2.85, 1 Ho 3.12, 2 Ag 3.12
Ag5 0.6664 0.3336 0.9731  5 Mg 2.82-2.85, 1 Ho 3.12, 2 Ag 3.12
Ag6 0.6840 0.8160 0.7500  3 Mg 2.69-2.83, 2 Ag 3.01
Ag7 0.8160 0.6840 0.2500  3 Mg 2.69-2.83, 2 Ag 3.01
Ag8 0.8336 0.1664 0.4731  5 Mg 2.82-2.85, 1 Ho 3.12, 2 Ag 3.12


3.
Pa2InNi6: optimized geometry, GGA-PBE.

Total DFT energy (no corrections): -6.40 eV per atom
Calculated volume: 16.4 Å³/atom
SG: Immm (71)

abc: 7.6469 7.6469 7.6469
angles: 154.89 128.57 58.06
Last column: nearest neighbours and their distance in Å.
Positions (direct):
Pa1 0.1383 0.1383 0.0000  10 Ni 2.70-2.78
Pa2 0.8617 0.8617 0.0000  10 Ni 2.70-2.78
In1 0.5000 0.0000 0.5000  4 Ni 2.66
Ni1 0.1303 0.3207 0.8096  4 Ni 2.53-2.64, 3 Pa 2.70-2.75
Ni2 0.1869 0.5000 0.6869  3 Ni 2.48-2.53, 2 In 2.66, 4 Pa 2.78
Ni3 0.4889 0.6793 0.8096  4 Ni 2.53-2.64, 3 Pa 2.70-2.75
Ni4 0.5111 0.3207 0.1904  4 Ni 2.53-2.64, 3 Pa 2.70-2.75
Ni5 0.8131 0.5000 0.3131  3 Ni 2.48-2.53, 2 In 2.66, 4 Pa 2.78
Ni6 0.8697 0.6793 0.1904  4 Ni 2.53-2.64, 3 Pa 2.70-2.75


4.
LaZr2Cr: optimized geometry, GGA-PBE.

Total DFT energy (no corrections): -7.71 eV per atom
Calculated volume: 22.9 Å³/atom
SG: Cmmm (65)
Excess energy over the best structure of this formula in the dataset: 0 meV per atom

abc: 3.2954 3.2954 8.4360
angles: 90.00 90.00 90.12
Last column: nearest neighbours and their distance in Å.
Positions (direct):
La1 0.0000 0.0000 0.0000  4 La 3.30, 8 Zr 3.54
Zr1 0.5000 0.5000 0.3155  4 Cr 2.80, 1 Zr 3.11
Zr2 0.5000 0.5000 0.6845  4 Cr 2.80, 1 Zr 3.11
Cr1 0.0000 0.0000 0.5000  8 Zr 2.80


5.
Ce2HoHg6: optimized geometry, GGA-PBE.

Total DFT energy (no corrections): -2.39 eV per atom
Calculated volume: 24.9 Å³/atom
SG: P6/mmm (191)
Excess energy over the best structure of this formula in the dataset: 0 meV per atom

abc: 8.7504 8.7504 3.3855
angles: 90.00 90.00 120.00
Last column: nearest neighbours and their distance in Å.
Positions (direct):
Ce1 0.3333 0.6667 0.0000  12 Hg 3.38, 2 Ce 3.39
Ce2 0.6667 0.3333 0.0000  12 Hg 3.38, 2 Ce 3.39
Ho1 0.0000 0.0000 0.0000  12 Hg 3.35, 2 Ho 3.39
Hg1 0.0000 0.3306 0.5000  3 Hg 2.89-2.96
Hg2 0.0000 0.6694 0.5000  3 Hg 2.89-2.96
Hg3 0.3306 0.0000 0.5000  3 Hg 2.89-2.96
Hg4 0.3306 0.3306 0.5000  3 Hg 2.89-2.96
Hg5 0.6694 0.0000 0.5000  3 Hg 2.89-2.96
Hg6 0.6694 0.6694 0.5000  3 Hg 2.89-2.96


6.
Ta2TeAsF: optimized geometry, GGA-PBE.

ΔE_f (raw): 157.37 kJ per mole of atoms
Total DFT energy (no corrections): -5.04 eV per atom
Calculated volume: 27.8 Å³/atom
SG: P4/mmm (123)

abc: 5.1263 5.1263 5.2905
angles: 90.00 90.00 90.00
Last column: nearest neighbours and their distance in Å.
Positions (direct):
Ta1 0.0000 0.5000 0.0000  2 Te 2.56
Ta2 0.5000 0.0000 0.0000  2 Te 2.56
Te1 0.0000 0.0000 0.0000  4 Ta 2.56, 2 As 2.65
As1 0.0000 0.0000 0.5000  2 Te 2.65
F1 0.5000 0.5000 0.5000  4 As 3.62, 8 Ta 3.68


7.
PuNp2N3: optimized geometry, GGA-PBE.

ΔE_f (raw): -111.27 kJ per mole of atoms
Total DFT energy (no corrections): -12.02 eV per atom
Calculated volume: 14.7 Å³/atom
SG: Immm (71)

abc: 6.0009 6.0009 6.0009
angles: 146.45 131.85 59.96
Last column: nearest neighbours and their distance in Å.
Positions (direct):
Pu1 0.0000 0.0000 0.0000  6 N 2.45-2.48
Np1 0.3342 0.3342 0.0000  6 N 2.42-2.45
Np2 0.6658 0.6658 0.0000  6 N 2.42-2.45
N1 0.1710 0.6710 0.5000  4 Np 2.42-2.45, 2 Pu 2.48
N2 0.5000 0.0000 0.5000  4 Np 2.44, 2 Pu 2.45
N3 0.8290 0.3290 0.5000  4 Np 2.42-2.45, 2 Pu 2.48


8.
NaYZrW: optimized geometry, GGA-PBE.

Total DFT energy (no corrections): -6.68 eV per atom
Calculated volume: 23.4 Å³/atom
SG: P2 (3)
Excess energy over the best structure of this formula in the dataset: 361 meV per atom

abc: 2.9814 6.2483 5.1686
angles: 90.00 103.20 90.00
Last column: nearest neighbours and their distance in Å.
Positions (direct):
Na1 0.0000 0.0000 0.0000  2 Na 2.98, 2 Y 3.12, 2 Zr 3.16, 2 W 3.26
Y1 0.5000 0.2564 0.5000  2 Y 2.98, 2 W 3.05, 2 Na 3.12, 2 Zr 3.19
Zr1 0.5000 0.5549 0.0000  2 W 2.79, 2 Zr 2.98
W1 0.0000 0.6819 0.5000  2 Zr 2.79, 2 W 2.98, 2 Y 3.05


9.
ErPd2Pt: optimized geometry, GGA-PBE.

Total DFT energy (no corrections): -6.03 eV per atom
Calculated volume: 17.7 Å³/atom
SG: Fm-3m (225)
Excess energy over the best structure of this formula in the dataset: 180 meV per atom

abc: 4.6433 4.6433 4.6433
angles: 60.00 60.00 60.00
Last column: nearest neighbours and their distance in Å.
Positions (direct):
Er1 0.0000 0.0000 0.0000  8 Pd 2.84
Pd1 0.2500 0.2500 0.2500  4 Er 2.84, 4 Pt 2.84
Pd2 0.7500 0.7500 0.7500  4 Er 2.84, 4 Pt 2.84
Pt1 0.5000 0.5000 0.5000  8 Pd 2.84


10.
NaBe2ReAg: optimized geometry, GGA-PBE.

Total DFT energy (no corrections): -3.18 eV per atom
Calculated volume: 17.6 Å³/atom
SG: P4/mmm (123)

abc: 4.3420 4.3420 4.6715
angles: 90.00 90.00 90.00
Last column: nearest neighbours and their distance in Å.
Positions (direct):
Na1 0.0000 0.0000 0.0000  2 Ag 2.34
Be1 0.0000 0.5000 0.5000  2 Ag 2.17
Be2 0.5000 0.0000 0.5000  2 Ag 2.17
Re1 0.5000 0.5000 0.0000  4 Na 3.07, 8 Be 3.19
Ag1 0.0000 0.0000 0.5000  4 Be 2.17, 2 Na 2.34


11.
Si2PdPt2: optimized geometry, GGA-PBE.

ΔE_f (raw): -44.73 kJ per mole of atoms
Total DFT energy (no corrections): -6.09 eV per atom
Calculated volume: 15.8 Å³/atom
SG: I4/mmm (139)
Excess energy over the best structure of this formula in the dataset: 47 meV per atom

abc: 6.2255 6.2255 6.2255
angles: 145.04 145.04 50.27
Last column: nearest neighbours and their distance in Å.
Positions (direct):
Si1 0.2500 0.7500 0.5000  4 Pt 2.39, 4 Si 2.64
Si2 0.7500 0.2500 0.5000  4 Pt 2.39, 4 Si 2.64
Pd1 0.0000 0.0000 0.0000  8 Pt 2.96
Pt1 0.3819 0.3819 0.0000  4 Si 2.39, 1 Pt 2.66
Pt2 0.6181 0.6181 0.0000  4 Si 2.39, 1 Pt 2.66


12.
GdAg2Pb: optimized geometry, GGA-PBE.

Total DFT energy (no corrections): -6.07 eV per atom
Calculated volume: 24.4 Å³/atom
SG: P4/mmm (123)

abc: 3.8584 3.8584 6.5480
angles: 90.00 90.00 90.00
Last column: nearest neighbours and their distance in Å.
Positions (direct):
Gd1 0.0000 0.0000 0.0000  8 Ag 3.14, 2 Pb 3.27
Ag1 0.5000 0.5000 0.2363  2 Ag 3.09-3.45, 4 Gd 3.14, 4 Pb 3.23
Ag2 0.5000 0.5000 0.7637  2 Ag 3.09-3.45, 4 Gd 3.14, 4 Pb 3.23
Pb1 0.0000 0.0000 0.5000  8 Ag 3.23, 2 Gd 3.27